Entry 1:
Here is an optimized crystal structure of MnTl2Pd2 from Alexandria. Energies are from GGA-PBE.

a = 6.9161 Å, b = 6.9161 Å, c = 4.1774 Å
α = 90.00°, β = 90.00°, γ = 90.00°
Closest atoms and distances in Å follow each position.
Fractional positions:
1 Mn 0.0000 0.0000 0.0000  4 Pd 2.66
2 Mn 0.5000 0.5000 0.0000  4 Pd 2.66
3 Tl 0.1671 0.3329 0.5000  6 Pd 2.80-3.00
4 Tl 0.3329 0.8329 0.5000  6 Pd 2.80-3.00
5 Tl 0.6671 0.1671 0.5000  6 Pd 2.80-3.00
6 Tl 0.8329 0.6671 0.5000  6 Pd 2.80-3.00
7 Pd 0.1428 0.6428 0.0000  2 Mn 2.66, 1 Pd 2.79, 2 Tl 2.80
8 Pd 0.3572 0.1428 0.0000  2 Mn 2.66, 1 Pd 2.79, 2 Tl 2.80
9 Pd 0.6428 0.8572 0.0000  2 Mn 2.66, 1 Pd 2.79, 2 Tl 2.80
10 Pd 0.8572 0.3572 0.0000  2 Mn 2.66, 1 Pd 2.79, 2 Tl 2.80


Entry 2:
Here is an optimized crystal structure of Mn2TlPd8 from Alexandria. Energies are from GGA-PBE.

Properties
Energy above the most stable polymorph in this dataset = 0 meV/atom

a = 7.3918 Å, b = 7.3918 Å, c = 6.3163 Å
α = 105.42°, β = 105.42°, γ = 31.76°
Closest atoms and distances in Å follow each position.
Fractional positions:
1 Mn 0.2239 0.2239 0.1510  10 Pd 2.70-2.81, 2 Mn 3.01
2 Mn 0.7761 0.7761 0.8490  10 Pd 2.70-2.81, 2 Mn 3.01
3 Tl 0.5000 0.5000 0.5000  12 Pd 2.79-2.95
4 Pd 0.0449 0.0449 0.2228  1 Mn 2.71, 9 Pd 2.75-2.99, 2 Tl 2.86
5 Pd 0.1476 0.1476 0.7056  3 Mn 2.71-2.72, 7 Pd 2.73-2.99, 2 Tl 2.95
6 Pd 0.3179 0.3179 0.5851  3 Mn 2.70-2.79, 8 Pd 2.73-2.86, 1 Tl 2.79
7 Pd 0.4009 0.4009 0.0333  3 Mn 2.73-2.81, 8 Pd 2.75-2.96, 1 Tl 2.89
8 Pd 0.5991 0.5991 0.9667  3 Mn 2.73-2.81, 8 Pd 2.75-2.96, 1 Tl 2.89
9 Pd 0.6821 0.6821 0.4149  3 Mn 2.70-2.79, 8 Pd 2.73-2.86, 1 Tl 2.79
10 Pd 0.8524 0.8524 0.2944  3 Mn 2.71-2.72, 7 Pd 2.73-2.99, 2 Tl 2.95
11 Pd 0.9551 0.9551 0.7772  1 Mn 2.71, 9 Pd 2.75-2.99, 2 Tl 2.86


Entry 3:
Here is an optimized crystal structure of Mn3TlPd6 from Alexandria. Energies are from GGA-PBE.

a = 8.4144 Å, b = 4.1689 Å, c = 9.1629 Å
α = 90.00°, β = 95.79°, γ = 90.00°
Closest atoms and distances in Å follow each position.
Fractional positions:
1 Mn 0.0525 0.2500 0.3956  8 Pd 2.62-2.72
2 Mn 0.1532 0.7500 0.1858  8 Pd 2.65-2.75
3 Mn 0.2506 0.2500 0.9759  10 Pd 2.73-2.81, 2 Mn 3.01
4 Mn 0.7494 0.7500 0.0241  10 Pd 2.73-2.81, 2 Mn 3.01
5 Mn 0.8468 0.2500 0.8142  8 Pd 2.65-2.75
6 Mn 0.9475 0.7500 0.6044  8 Pd 2.62-2.72
7 Tl 0.4386 0.2500 0.6152  10 Pd 2.79-3.12
8 Tl 0.5614 0.7500 0.3848  10 Pd 2.79-3.12
9 Pd 0.0341 0.7500 0.8981  7 Mn 2.68-2.81, 5 Pd 2.78-2.96
10 Pd 0.1202 0.2500 0.6907  5 Mn 2.62-2.73, 1 Tl 2.83, 2 Pd 2.88
11 Pd 0.2299 0.7500 0.4847  4 Mn 2.65-2.75, 2 Tl 2.90, 1 Pd 2.95
12 Pd 0.3323 0.2500 0.2785  4 Mn 2.66-2.79, 3 Pd 2.91-2.95, 2 Tl 2.94
13 Pd 0.3367 0.7500 0.8011  8 Pd 2.70-2.95, 2 Mn 2.77, 2 Tl 2.88
14 Pd 0.4401 0.7500 0.0900  4 Mn 2.65-2.76, 7 Pd 2.70-2.91, 1 Tl 2.79
15 Pd 0.5599 0.2500 0.9100  4 Mn 2.65-2.76, 7 Pd 2.70-2.91, 1 Tl 2.79
16 Pd 0.6633 0.2500 0.1989  8 Pd 2.70-2.95, 2 Mn 2.77, 2 Tl 2.88
17 Pd 0.6677 0.7500 0.7215  4 Mn 2.66-2.79, 3 Pd 2.91-2.95, 2 Tl 2.94
18 Pd 0.7701 0.2500 0.5153  4 Mn 2.65-2.75, 2 Tl 2.90, 1 Pd 2.95
19 Pd 0.8798 0.7500 0.3093  5 Mn 2.62-2.73, 1 Tl 2.83, 2 Pd 2.88
20 Pd 0.9659 0.2500 0.1019  7 Mn 2.68-2.81, 5 Pd 2.78-2.96


Entry 4:
Here is an optimized crystal structure of MnTlPd2 from Alexandria. Energies are from GGA-PBE.

Properties
Energy above the most stable polymorph in this dataset = 0 meV/atom

a = 4.5864 Å, b = 4.5864 Å, c = 4.5864 Å
α = 60.00°, β = 60.00°, γ = 60.00°
Closest atoms and distances in Å follow each position.
Fractional positions:
1 Mn 0.0000 0.0000 0.0000  8 Pd 2.81
2 Tl 0.5000 0.5000 0.5000  8 Pd 2.81
3 Pd 0.2500 0.2500 0.2500  4 Tl 2.81, 4 Mn 2.81
4 Pd 0.7500 0.7500 0.7500  4 Tl 2.81, 4 Mn 2.81


Results for size of the total moment: 0.912 0.854 1.358 1.053 (in μB/atom, following the order of the records).
Results for E: -48.14 -64.45 -126.25 -22.49 (in eV per cell, following the order of the records).
Results for formation enthalpy at 0 K: 0.2 -2.2 -2.1 -0.6 (in eV per formula unit, following the order of the records).